<w>
! PBE-GGA La4Sm5Tl, optimized geometry; values from VASP
&SYSTEM
  ibrav = 0, nat = 10, ntyp = 3
/
ATOMIC_SPECIES
La 138.91 La.upf
Sm 150.36 Sm.upf
Tl 204.38 Tl.upf
CELL_PARAMETERS angstrom
-5.469 5.469 3.012
5.469 -5.469 3.012
5.469 5.469 -3.012
ATOMIC_POSITIONS angstrom
La 3.374 0.000 0.000
La 7.564 0.000 0.000
La 0.000 3.374 0.000
La 0.000 7.564 0.000
Sm 0.000 0.000 1.197
Sm 3.445 3.445 -0.057
Sm 2.024 -2.024 2.955
Sm -2.024 2.024 2.955
Sm 2.024 2.024 2.955
Tl 0.000 0.000 4.318
! Space group: I4mm, No. 107


<x>
! PBE-GGA La4Sm5Tl, optimized geometry; values from VASP
&SYSTEM
  ibrav = 0, nat = 10, ntyp = 3
/
ATOMIC_SPECIES
La 138.91 La.upf
Sm 150.36 Sm.upf
Tl 204.38 Tl.upf
CELL_PARAMETERS angstrom
3.712 0.000 0.000
0.000 3.712 0.000
0.000 0.000 24.690
ATOMIC_POSITIONS angstrom
La 0.000 0.000 2.565
La 0.000 0.000 7.721
La 0.000 0.000 16.969
La 0.000 0.000 22.126
Sm 1.856 1.856 0.000
Sm 1.856 1.856 5.117
Sm 1.856 1.856 10.257
Sm 1.856 1.856 14.434
Sm 1.856 1.856 19.574
Tl 0.000 0.000 12.345
! Space group: P4/mmm, No. 123


Stability, descending: <x>, <w>


<w>
! PBE-GGA LaSm3Tl3, optimized geometry; values from VASP
&SYSTEM
  ibrav = 0, nat = 14, ntyp = 3
/
ATOMIC_SPECIES
La 138.91 La.upf
Sm 150.36 Sm.upf
Tl 204.38 Tl.upf
CELL_PARAMETERS angstrom
9.733 0.000 0.000
-4.866 8.429 0.000
0.000 0.000 5.306
ATOMIC_POSITIONS angstrom
La 0.000 5.619 1.326
La 4.866 2.810 3.979
Sm -3.689 6.451 3.979
Sm 1.124 2.009 3.979
Sm 2.302 0.031 1.326
Sm 2.565 8.398 3.979
Sm 3.742 6.420 1.326
Sm 8.555 1.978 1.326
Tl -1.512 3.780 3.979
Tl -0.837 7.848 3.979
Tl 2.518 3.200 1.326
Tl 2.349 5.229 3.979
Tl 5.703 0.581 1.326
Tl 6.378 4.649 1.326
! Space group: P6_3/m, No. 176


<x>
! PBE-GGA LaSm3Tl3, optimized geometry; values from VASP
&SYSTEM
  ibrav = 0, nat = 28, ntyp = 3
/
ATOMIC_SPECIES
La 138.91 La.upf
Sm 150.36 Sm.upf
Tl 204.38 Tl.upf
CELL_PARAMETERS angstrom
9.594 0.000 0.000
0.000 9.594 0.000
0.000 0.000 9.594
ATOMIC_POSITIONS angstrom
La 0.701 4.096 5.498
La 4.096 5.498 0.701
La 5.498 0.701 4.096
La 8.893 8.893 8.893
Sm 0.752 5.549 8.842
Sm 1.707 1.707 1.707
Sm 1.713 7.881 3.084
Sm 3.084 1.713 7.881
Sm 3.090 7.887 6.504
Sm 4.045 4.045 4.045
Sm 5.549 8.842 0.752
Sm 6.504 3.090 7.887
Sm 6.510 6.510 6.510
Sm 7.881 3.084 1.713
Sm 7.887 6.504 3.090
Sm 8.842 0.752 5.549
Tl 0.004 2.457 8.460
Tl 9.590 7.254 5.931
Tl 1.134 4.801 2.340
Tl 2.340 1.134 4.801
Tl 2.457 8.460 0.004
Tl 3.663 4.793 7.137
Tl 4.801 2.340 1.134
Tl 4.793 7.137 3.663
Tl 5.931 9.590 7.254
Tl 7.137 3.663 4.793
Tl 7.254 5.931 9.590
Tl 8.460 0.004 2.457
! Space group: P2_13, No. 198


Stability, descending: <x>, <w>


<w>
! PBE-GGA LaSm3Tl, optimized geometry; values from VASP
&SYSTEM
  ibrav = 0, nat = 20, ntyp = 3
/
ATOMIC_SPECIES
La 138.91 La.upf
Sm 150.36 Sm.upf
Tl 204.38 Tl.upf
CELL_PARAMETERS angstrom
9.618 0.000 0.000
0.000 6.876 0.000
-5.424 0.000 10.175
ATOMIC_POSITIONS angstrom
La -1.676 1.673 3.984
La -4.388 1.765 9.071
La 8.581 5.112 1.104
La 5.869 5.203 6.192
Sm -3.118 5.079 9.780
Sm -0.405 5.235 4.693
Sm 1.512 0.120 2.411
Sm -1.200 3.318 7.499
Sm -0.944 0.055 7.784
Sm 1.768 3.383 2.696
Sm 2.425 3.493 7.479
Sm 5.138 6.821 2.392
Sm 5.393 3.558 2.676
Sm 2.681 6.756 7.764
Sm 4.599 1.641 5.483
Sm 7.311 1.797 0.395
Tl 1.141 1.507 5.412
Tl 3.853 1.931 0.324
Tl 0.340 4.945 9.851
Tl 3.052 5.369 4.763
! Space group: P2_1/c, No. 14


<x>
! PBE-GGA LaSm3Tl, optimized geometry; values from VASP
&SYSTEM
  ibrav = 0, nat = 5, ntyp = 3
/
ATOMIC_SPECIES
La 138.91 La.upf
Sm 150.36 Sm.upf
Tl 204.38 Tl.upf
CELL_PARAMETERS angstrom
5.080 2.933 2.161
-5.080 2.933 2.161
0.000 -5.866 2.161
ATOMIC_POSITIONS angstrom
La 0.000 0.000 0.000
Sm -2.540 -1.466 2.161
Sm -2.540 1.466 4.323
Sm 0.000 2.933 2.161
Tl 0.000 0.000 3.242
! Space group: R-3m, No. 166


Stability, descending: <w>, <x>


<w>
! PBE-GGA LaSmYTl, optimized geometry; values from VASP
&SYSTEM
  ibrav = 0, nat = 4, ntyp = 4
/
ATOMIC_SPECIES
La 138.91 La.upf
Sm 150.36 Sm.upf
Y 88.91 Y.upf
Tl 204.38 Tl.upf
CELL_PARAMETERS angstrom
4.878 0.000 0.000
0.000 4.912 0.000
0.000 0.000 5.103
ATOMIC_POSITIONS angstrom
La 0.000 0.000 0.000
Sm 2.439 2.456 0.000
Y 2.439 0.000 2.552
Tl 0.000 2.456 2.552
! Space group: Pmmm, No. 47


<x>
! PBE-GGA LaSmYTl, optimized geometry; values from VASP
&SYSTEM
  ibrav = 0, nat = 4, ntyp = 4
/
ATOMIC_SPECIES
La 138.91 La.upf
Sm 150.36 Sm.upf
Y 88.91 Y.upf
Tl 204.38 Tl.upf
CELL_PARAMETERS angstrom
0.000 3.975 3.975
3.975 0.000 3.975
3.975 3.975 0.000
ATOMIC_POSITIONS angstrom
La 0.000 0.000 0.000
Sm 3.975 3.975 3.975
Y 1.987 1.987 1.987
Tl 5.962 5.962 5.962
! Space group: F-43m, No. 216


Stability, descending: <w>, <x>


<w>
! PBE-GGA LaSmTlZn, optimized geometry; values from VASP
&SYSTEM
  ibrav = 0, nat = 4, ntyp = 4
/
ATOMIC_SPECIES
La 138.91 La.upf
Sm 150.36 Sm.upf
Tl 204.38 Tl.upf
Zn 65.41 Zn.upf
CELL_PARAMETERS angstrom
3.782 0.000 0.000
0.000 3.782 0.000
0.000 0.000 7.764
ATOMIC_POSITIONS angstrom
La 0.000 0.000 0.000
Sm 0.000 0.000 4.236
Tl 1.891 1.891 2.215
Zn 1.891 1.891 5.867
! Space group: P4mm, No. 99


<x>
! PBE-GGA LaSmTlZn, optimized geometry; values from VASP
&SYSTEM
  ibrav = 0, nat = 4, ntyp = 4
/
ATOMIC_SPECIES
La 138.91 La.upf
Sm 150.36 Sm.upf
Tl 204.38 Tl.upf
Zn 65.41 Zn.upf
CELL_PARAMETERS angstrom
0.000 3.835 3.835
3.835 0.000 3.835
3.835 3.835 0.000
ATOMIC_POSITIONS angstrom
La 0.000 0.000 0.000
Sm 3.835 3.835 3.835
Tl 5.752 5.752 5.752
Zn 1.917 1.917 1.917
! Space group: F-43m, No. 216


Stability, descending: <w>, <x>


<w>
! PBE-GGA La7Sm4Tm, optimized geometry; values from VASP
&SYSTEM
  ibrav = 0, nat = 12, ntyp = 3
/
ATOMIC_SPECIES
La 138.91 La.upf
Sm 150.36 Sm.upf
Tm 168.93 Tm.upf
CELL_PARAMETERS angstrom
6.441 0.000 0.000
0.009 7.398 0.000
2.153 -0.002 8.920
ATOMIC_POSITIONS angstrom
La 0.000 0.000 0.000
La 2.169 0.003 2.972
La 3.240 1.866 5.957
La 3.225 1.888 0.004
La 5.379 5.509 8.916
La 5.364 5.531 2.963
La 6.435 7.394 5.948
Sm 2.122 3.704 2.968
Sm 3.231 5.506 5.988
Sm 5.373 1.891 2.932
Sm 6.481 3.693 5.953
Tm 0.005 3.699 0.000
! Space group: P-1, No. 2


<x>
! PBE-GGA La7Sm4Tm, optimized geometry; values from VASP
&SYSTEM
  ibrav = 0, nat = 12, ntyp = 3
/
ATOMIC_SPECIES
La 138.91 La.upf
Sm 150.36 Sm.upf
Tm 168.93 Tm.upf
CELL_PARAMETERS angstrom
8.294 -3.068 0.000
8.294 3.068 0.000
-4.207 0.000 8.510
ATOMIC_POSITIONS angstrom
La 0.000 0.000 0.000
La 1.570 0.000 6.647
La 4.378 0.000 1.062
La 4.550 0.000 4.824
La 7.830 0.000 3.686
La 8.003 0.000 7.447
La 10.810 0.000 1.862
Sm -1.733 0.000 5.946
Sm 1.214 0.000 3.349
Sm 11.166 0.000 5.161
Sm 14.113 0.000 2.564
Tm 8.294 0.000 0.000
! Space group: C2/m, No. 12


Stability, descending: <w>, <x>


<w>
! PBE-GGA La5SmTm2, optimized geometry; values from VASP
&SYSTEM
  ibrav = 0, nat = 16, ntyp = 3
/
ATOMIC_SPECIES
La 138.91 La.upf
Sm 150.36 Sm.upf
Tm 168.93 Tm.upf
CELL_PARAMETERS angstrom
-4.681 4.681 6.433
4.681 -4.681 6.433
4.681 4.681 -6.433
ATOMIC_POSITIONS angstrom
La 0.000 0.000 0.000
La 3.294 -1.387 2.140
La 6.068 -1.387 4.294
La 6.068 1.387 2.140
La 3.294 1.387 4.294
La 0.000 0.000 6.433
La 1.387 3.294 2.140
La -1.387 3.294 4.294
La -1.387 6.068 2.140
La 1.387 6.068 4.294
Sm 0.000 0.000 3.217
Sm 0.000 0.000 9.650
Tm 3.305 1.375 0.000
Tm 3.305 -1.375 6.433
Tm 1.375 6.056 0.000
Tm 1.375 3.305 6.433
! Space group: I4/mcm, No. 140


<x>
! PBE-GGA La5SmTm2, optimized geometry; values from VASP
&SYSTEM
  ibrav = 0, nat = 16, ntyp = 3
/
ATOMIC_SPECIES
La 138.91 La.upf
Sm 150.36 Sm.upf
Tm 168.93 Tm.upf
CELL_PARAMETERS angstrom
6.510 -8.158 0.000
6.510 8.158 0.000
-2.851 0.000 5.395
ATOMIC_POSITIONS angstrom
La -0.219 2.359 5.063
La 4.372 5.012 4.046
La 2.734 0.881 3.169
La 1.206 -2.359 2.365
La 4.160 -0.881 0.472
La 6.009 0.881 4.923
La 8.963 2.359 3.029
La 7.435 -0.881 2.225
La 5.797 -5.012 1.349
La 10.388 -2.359 0.332
Sm 5.797 2.642 1.349
Sm 4.372 -2.642 4.046
Tm 0.000 0.000 0.000
Tm -1.425 0.000 2.697
Tm 1.830 4.079 2.697
Tm 3.255 -4.079 0.000
! Space group: C2/c, No. 15


Stability, descending: <w>, <x>


<w>
! PBE-GGA La3SmTm3, optimized geometry; values from VASP
&SYSTEM
  ibrav = 0, nat = 14, ntyp = 3
/
ATOMIC_SPECIES
La 138.91 La.upf
Sm 150.36 Sm.upf
Tm 168.93 Tm.upf
CELL_PARAMETERS angstrom
4.722 2.726 6.247
-4.722 2.726 6.247
0.000 -5.453 6.247
ATOMIC_POSITIONS angstrom
La -3.336 1.148 7.702
La -2.662 -2.315 11.040
La 0.674 -3.463 7.702
La -0.674 3.463 11.040
La 2.662 2.315 7.702
La 3.336 -1.148 11.040
Sm 0.000 0.000 7.656
Sm 0.000 0.000 11.086
Tm -1.980 -0.411 4.891
Tm 1.345 -1.509 4.891
Tm 0.634 1.920 4.891
Tm -0.634 -1.920 13.851
Tm -1.345 1.509 13.851
Tm 1.980 0.411 13.852
! Space group: R-3, No. 148


<x>
! PBE-GGA La3SmTm3, optimized geometry; values from VASP
&SYSTEM
  ibrav = 0, nat = 14, ntyp = 3
/
ATOMIC_SPECIES
La 138.91 La.upf
Sm 150.36 Sm.upf
Tm 168.93 Tm.upf
CELL_PARAMETERS angstrom
9.722 0.000 0.000
0.000 5.799 0.000
-4.859 0.000 8.421
ATOMIC_POSITIONS angstrom
La -0.691 1.450 2.070
La -2.716 1.450 7.980
La 1.453 4.349 1.632
La 3.409 1.450 6.790
La 7.579 4.349 0.441
La 5.554 4.349 6.352
Sm 0.001 1.450 5.613
Sm 4.862 4.349 2.809
Tm -1.413 4.349 4.065
Tm -0.628 4.349 7.613
Tm 2.812 1.450 3.261
Tm 2.051 4.349 5.161
Tm 5.491 1.450 0.809
Tm 6.276 1.450 4.356
! Space group: P2_1/m, No. 11


Stability, descending: <x>, <w>


<w>
! PBE-GGA La2Sm5Tm4, optimized geometry; values from VASP
&SYSTEM
  ibrav = 0, nat = 11, ntyp = 3
/
ATOMIC_SPECIES
La 138.91 La.upf
Sm 150.36 Sm.upf
Tm 168.93 Tm.upf
CELL_PARAMETERS angstrom
8.863 -1.772 0.000
8.863 1.772 0.000
-0.835 0.000 11.660
ATOMIC_POSITIONS angstrom
La 3.572 0.000 4.129
La 13.319 0.000 7.531
Sm 0.000 0.000 0.000
Sm 4.965 0.000 10.879
Sm 6.808 0.000 5.401
Sm 10.083 0.000 6.258
Sm 11.926 0.000 0.781
Tm 1.790 0.000 9.310
Tm 7.694 0.000 8.679
Tm 9.198 0.000 2.981
Tm 15.101 0.000 2.350
! Space group: C2/m, No. 12


<x>
! PBE-GGA La2Sm5Tm4, optimized geometry; values from VASP
&SYSTEM
  ibrav = 0, nat = 11, ntyp = 3
/
ATOMIC_SPECIES
La 138.91 La.upf
Sm 150.36 Sm.upf
Tm 168.93 Tm.upf
CELL_PARAMETERS angstrom
12.419 -1.765 0.000
12.419 1.765 0.000
-3.054 0.000 8.578
ATOMIC_POSITIONS angstrom
La 4.969 0.000 2.526
La 16.815 0.000 6.052
Sm -1.527 0.000 4.289
Sm 8.118 0.000 0.924
Sm 7.688 0.000 4.580
Sm 14.096 0.000 3.997
Sm 13.666 0.000 7.654
Tm 2.037 0.000 1.051
Tm 11.639 0.000 1.494
Tm 10.145 0.000 7.083
Tm 19.747 0.000 7.527
! Space group: C2/m, No. 12


Stability, descending: <w>, <x>


<w>
! PBE-GGA LaSm3Tm6, optimized geometry; values from VASP
&SYSTEM
  ibrav = 0, nat = 20, ntyp = 3
/
ATOMIC_SPECIES
La 138.91 La.upf
Sm 150.36 Sm.upf
Tm 168.93 Tm.upf
CELL_PARAMETERS angstrom
4.723 -7.627 0.000
4.723 7.627 0.000
0.000 0.000 8.996
ATOMIC_POSITIONS angstrom
La 4.723 4.090 4.498
La 4.723 -4.090 0.000
Sm 1.603 2.165 4.952
Sm 1.603 -2.165 0.454
Sm 4.723 0.602 5.094
Sm 4.723 -0.602 0.596
Sm 7.842 2.165 4.952
Sm 7.842 -2.165 0.454
Tm 4.723 6.783 6.298
Tm 2.146 0.966 7.979
Tm 3.028 2.299 1.944
Tm 2.146 -0.966 3.481
Tm 4.723 3.078 7.701
Tm 3.028 -2.299 6.442
Tm 6.418 2.299 1.944
Tm 4.723 -3.078 3.203
Tm 7.299 0.966 7.979
Tm 6.418 -2.299 6.442
Tm 7.299 -0.966 3.481
Tm 4.723 -6.783 1.801
! Space group: Cmc2_1, No. 36


<x>
! PBE-GGA LaSm3Tm6, optimized geometry; values from VASP
&SYSTEM
  ibrav = 0, nat = 10, ntyp = 3
/
ATOMIC_SPECIES
La 138.91 La.upf
Sm 150.36 Sm.upf
Tm 168.93 Tm.upf
CELL_PARAMETERS angstrom
4.930 2.846 3.850
-4.930 2.846 3.850
0.000 -5.692 3.850
ATOMIC_POSITIONS angstrom
La 0.000 0.000 0.000
Sm 0.000 0.000 2.905
Sm 0.000 0.000 5.775
Sm 0.000 0.000 8.641
Tm -1.634 -2.861 3.855
Tm -3.222 -0.001 5.779
Tm -1.661 2.845 3.855
Tm 1.612 -2.790 5.779
Tm 3.295 0.016 3.855
Tm 1.611 2.791 5.779
! Space group: R3, No. 146


Stability, descending: <w>, <x>